1.
{"formula": "Nd5Al2Ag", "functional": "PBE-GGA", "state": "optimized geometry", "lattice_angstrom": [[-5.029, 0.851, -5.926], [5.244, -3.108, -4.897], [-2.966, -5.922, 6.824]], "species": ["Nd", "Al", "Nd", "Nd", "Ag", "Al", "Ag", "Nd", "Nd", "Al", "Al", "Nd", "Nd", "Nd", "Nd", "Nd"], "frac_coords": [[0.023, 0.523, 0.705], [0.118, 0.382, 0.000], [0.181, 0.023, 0.705], [0.000, 0.000, 0.000], [0.250, 0.250, 0.500], [0.882, 0.618, 0.000], [0.750, 0.750, 0.500], [0.477, 0.319, 0.295], [0.500, 0.500, 0.000], [0.618, 0.118, 0.000], [0.382, 0.882, 0.000], [0.819, 0.977, 0.295], [0.977, 0.477, 0.295], [0.319, 0.819, 0.295], [0.523, 0.681, 0.705], [0.681, 0.181, 0.705]], "dft_energy_ev_per_fu": -35.872, "formation_energy_ev_per_atom": -0.212, "space_group": "I4/mcm", "magmom_total_mub_per_fu": 0.00, "rho_g_cm3": 6.20}


2.
{"formula": "NdAl4Ag4", "functional": "PBE-GGA", "state": "optimized geometry", "lattice_angstrom": [[-0.197, -5.617, -2.700], [-1.341, -2.600, 5.507], [-8.862, 1.099, -1.639]], "species": ["Ag", "Al", "Ag", "Nd", "Nd", "Al", "Ag", "Al", "Al", "Al", "Ag", "Ag", "Ag", "Ag", "Ag", "Al", "Al", "Al"], "frac_coords": [[0.776, 0.500, 0.905], [0.500, 0.217, 0.803], [0.724, 0.000, 0.595], [0.500, 0.500, 0.500], [0.000, 0.000, 0.000], [0.217, 0.500, 0.197], [0.500, 0.224, 0.095], [0.500, 0.783, 0.803], [0.283, 0.000, 0.303], [0.000, 0.283, 0.697], [0.224, 0.500, 0.905], [0.000, 0.724, 0.405], [0.500, 0.776, 0.095], [0.276, 0.000, 0.595], [0.000, 0.276, 0.405], [0.783, 0.500, 0.197], [0.000, 0.717, 0.697], [0.717, 0.000, 0.303]], "dft_energy_ev_per_fu": -32.572, "formation_energy_ev_per_atom": -0.159, "space_group": "P4_2/nmc", "magmom_total_mub_per_fu": 0.00, "rho_g_cm3": 6.43}


3.
{"formula": "Nd12AlAg6", "functional": "PBE-GGA", "state": "optimized geometry", "lattice_angstrom": [[8.403, -0.236, -0.282], [-1.507, 8.270, -0.282], [-1.507, -1.756, 8.087]], "species": ["Ag", "Ag", "Ag", "Nd", "Nd", "Nd", "Ag", "Nd", "Nd", "Ag", "Nd", "Nd", "Al", "Nd", "Nd", "Nd", "Nd", "Nd", "Ag"], "frac_coords": [[0.455, 0.276, 0.720], [0.720, 0.455, 0.276], [0.276, 0.720, 0.455], [0.349, 0.349, 0.075], [0.324, 0.945, 0.828], [0.349, 0.075, 0.349], [0.724, 0.280, 0.545], [0.055, 0.172, 0.676], [0.925, 0.651, 0.651], [0.280, 0.545, 0.724], [0.651, 0.925, 0.651], [0.075, 0.349, 0.349], [0.000, 0.000, 0.000], [0.828, 0.324, 0.945], [0.676, 0.055, 0.172], [0.945, 0.828, 0.324], [0.651, 0.651, 0.925], [0.172, 0.676, 0.055], [0.545, 0.724, 0.280]], "dft_energy_ev_per_fu": -79.202, "formation_energy_ev_per_atom": -0.060, "space_group": "R-3", "magmom_total_mub_per_fu": 0.00, "rho_g_cm3": 7.25}


4.
{"formula": "NdAl4Ag6", "functional": "PBE-GGA", "state": "optimized geometry", "lattice_angstrom": [[4.330, 0.000, 0.000], [0.000, 7.449, 0.000], [0.000, -3.725, 6.451]], "species": ["Ag", "Ag", "Ag", "Nd", "Al", "Ag", "Al", "Al", "Ag", "Al", "Ag"], "frac_coords": [[0.500, 0.202, 0.404], [0.000, 0.929, 0.465], [0.000, 0.535, 0.071], [0.000, 0.000, 0.000], [0.500, 0.799, 0.599], [0.500, 0.596, 0.798], [0.500, 0.401, 0.201], [0.500, 0.799, 0.201], [0.500, 0.202, 0.798], [0.000, 0.333, 0.667], [0.000, 0.535, 0.465]], "dft_energy_ev_per_fu": -39.014, "formation_energy_ev_per_atom": -0.197, "space_group": "P-6m2", "magmom_total_mub_per_fu": 0.00, "rho_g_cm3": 7.18}


5.
{"formula": "NdAlAg", "functional": "PBE-GGA", "state": "optimized geometry", "lattice_angstrom": [[4.802, 0.000, 0.000], [2.401, 4.159, 0.000], [2.401, 1.386, 3.921]], "species": ["Nd", "Al", "Ag"], "frac_coords": [[0.500, 0.500, 0.500], [0.000, 0.000, 0.000], [0.250, 0.250, 0.250]], "dft_energy_ev_per_fu": -11.848, "formation_energy_ev_per_atom": -0.162, "space_group": "F-43m", "magmom_total_mub_per_fu": 0.00, "rho_g_cm3": 5.92}


6.
{"formula": "NdAlAg", "functional": "PBE-GGA", "state": "optimized geometry", "lattice_angstrom": [[-0.416, -3.514, -1.146], [3.415, 0.628, -3.166], [1.051, -1.532, 4.316]], "species": ["Nd", "Ag", "Al"], "frac_coords": [[0.667, 0.333, 0.667], [0.167, 0.667, 0.333], [0.167, 0.000, 0.000]], "dft_energy_ev_per_fu": -12.438, "formation_energy_ev_per_atom": -0.359, "space_group": "P-6m2", "magmom_total_mub_per_fu": 0.00, "rho_g_cm3": 6.52}


What did the fourth record say?
{"formula": "NdAl4Ag6", "functional": "PBE-GGA", "state": "optimized geometry", "lattice_angstrom": [[4.330, 0.000, 0.000], [0.000, 7.449, 0.000], [0.000, -3.725, 6.451]], "species": ["Ag", "Ag", "Ag", "Nd", "Al", "Ag", "Al", "Al", "Ag", "Al", "Ag"], "frac_coords": [[0.500, 0.202, 0.404], [0.000, 0.929, 0.465], [0.000, 0.535, 0.071], [0.000, 0.000, 0.000], [0.500, 0.799, 0.599], [0.500, 0.596, 0.798], [0.500, 0.401, 0.201], [0.500, 0.799, 0.201], [0.500, 0.202, 0.798], [0.000, 0.333, 0.667], [0.000, 0.535, 0.465]], "dft_energy_ev_per_fu": -39.014, "formation_energy_ev_per_atom": -0.197, "space_group": "P-6m2", "magmom_total_mub_per_fu": 0.00, "rho_g_cm3": 7.18}